Material: Li2BeCo2
Method: DFT, PBEsol
State: relaxed

total DFT energy (no corrections) = -43.9 eV for the cell shown
ΔH_f (0 K) = 292.1 meV/atom
theoretical density = 3.92 g/cm³
D(E_F) = 7.551 states/eV per cell

Lattice parameters (Å, degrees): 4.1450 5.3664 5.3664 90.00 90.00 90.00
With the nearest neighbours (Å) after each atom.
Element x y z (fractional)
1 Be 0.0000 0.0000 0.0000  4 Co 2.07
2 Be 0.0000 0.5000 0.5000  4 Co 2.07
3 Co 0.0000 0.3585 0.8585  2 Be 2.07, 1 Co 2.15
4 Co 0.0000 0.8585 0.6415  2 Be 2.07, 1 Co 2.15
5 Co 0.0000 0.6415 0.1415  2 Be 2.07, 1 Co 2.15
6 Co 0.0000 0.1415 0.3585  2 Be 2.07, 1 Co 2.15
7 Li 0.5000 0.1731 0.6731  6 Co 2.51-2.68, 1 Li 2.63
8 Li 0.5000 0.6731 0.8269  6 Co 2.51-2.68, 1 Li 2.63
9 Li 0.5000 0.8269 0.3269  6 Co 2.51-2.68, 1 Li 2.63
10 Li 0.5000 0.3269 0.1731  6 Co 2.51-2.68, 1 Li 2.63


Material: BaYZn2
Method: DFT, PBEsol
State: relaxed

total DFT energy (no corrections) = -13.0 eV for the cell shown
ΔH_f (0 K) = -216.0 meV/atom
theoretical density = 5.67 g/cm³
D(E_F) = 3.129 states/eV per cell
relative energy among the computed polymorphs = 0 meV per atom

Lattice parameters (Å, degrees): 3.7024 3.7024 7.6263 90.00 90.00 90.00
With the nearest neighbours (Å) after each atom.
Element x y z (fractional)
1 Y 0.5000 0.5000 0.5000  8 Zn 3.01
2 Zn 0.0000 0.0000 0.6947  1 Zn 2.97, 4 Y 3.01
3 Zn 0.0000 0.0000 0.3053  1 Zn 2.97, 4 Y 3.01
4 Ba 0.5000 0.5000 0.0000  8 Zn 3.50, 4 Ba 3.70, 2 Y 3.81


Material: AgPt2
Method: DFT, PBEsol
State: relaxed

total DFT energy (no corrections) = -68.6 eV for the cell shown
ΔH_f (0 K) = 30.1 meV/atom
theoretical density = 17.95 g/cm³
D(E_F) = 15.740 states/eV per cell
relative energy among the computed polymorphs = 33 meV per atom

Lattice parameters (Å, degrees): 2.7647 7.3646 9.7574 108.83 90.00 100.82
With the nearest neighbours (Å) after each atom.
Element x y z (fractional)
1 Ag 0.0000 0.0000 0.9989  7 Pt 2.74-2.83, 5 Ag 2.76-2.80
2 Ag 0.1668 0.3337 0.9186  7 Pt 2.75-2.85, 5 Ag 2.76-2.82
3 Ag 0.4980 0.9960 0.7486  6 Ag 2.76-2.82, 6 Pt 2.78-2.82
4 Ag 0.3357 0.6713 0.3348  2 Ag 2.76, 10 Pt 2.78-2.82
5 Pt 0.3295 0.6590 0.8310  4 Ag 2.75-2.83, 8 Pt 2.76-2.80
6 Pt 0.6658 0.3315 0.6626  9 Pt 2.73-2.79, 3 Ag 2.82-2.85
7 Pt 0.8299 0.6599 0.5827  8 Pt 2.73-2.83, 4 Ag 2.80-2.81
8 Pt 0.0015 0.0029 0.5033  8 Pt 2.75-2.83, 4 Ag 2.78-2.79
9 Pt 0.1649 0.3297 0.4133  11 Pt 2.73-2.79, 1 Ag 2.82
10 Pt 0.5025 0.0050 0.2524  9 Pt 2.73-2.82, 3 Ag 2.78-2.82
11 Pt 0.6683 0.3365 0.1695  6 Pt 2.76-2.83, 6 Ag 2.79-2.82
12 Pt 0.8372 0.6744 0.0843  5 Ag 2.74-2.82, 7 Pt 2.76-2.83


Material: Mg2AlOs
Method: DFT, PBEsol
State: relaxed

total DFT energy (no corrections) = -19.1 eV for the cell shown
ΔH_f (0 K) = 157.8 meV/atom
theoretical density = 6.82 g/cm³
D(E_F) = 2.381 states/eV per cell

Lattice parameters (Å, degrees): 2.7406 4.2878 5.5091 90.00 90.00 90.00
With the nearest neighbours (Å) after each atom.
Element x y z (fractional)
1 Al 0.5000 0.5000 0.5000  2 Al 2.74, 2 Os 2.75, 8 Mg 2.93
2 Mg 0.0000 0.0000 0.7627  4 Mg 2.61-2.89, 4 Os 2.86, 4 Al 2.93
3 Mg 0.0000 0.0000 0.2373  4 Mg 2.61-2.89, 4 Os 2.86, 4 Al 2.93
4 Os 0.5000 0.5000 0.0000  2 Os 2.74, 2 Al 2.75, 8 Mg 2.86


Material: Ce2Ni7P4
Method: DFT, PBEsol
State: relaxed

total DFT energy (no corrections) = -182.6 eV for the cell shown
ΔH_f (0 K) = -912.2 meV/atom
theoretical density = 7.88 g/cm³
D(E_F) = 24.298 states/eV per cell

Lattice parameters (Å, degrees): 3.7157 9.0381 10.2255 90.00 90.00 90.00
With the nearest neighbours (Å) after each atom.
Element x y z (fractional)
1 Ce 0.0000 0.0598 0.0022  9 Ni 2.90-3.17, 5 P 2.90-3.01
2 Ce 0.5000 0.9402 0.5022  9 Ni 2.90-3.17, 5 P 2.90-3.01
3 Ce 0.0000 0.4417 0.7783  6 P 2.83-2.92, 10 Ni 2.94-3.12
4 Ce 0.5000 0.5583 0.2783  6 P 2.83-2.92, 10 Ni 2.94-3.12
5 Ni 0.0000 0.0781 0.3115  3 P 2.16-2.29
6 Ni 0.5000 0.9219 0.8115  3 P 2.16-2.29
7 Ni 0.0000 0.1937 0.5659  3 P 2.17-2.32, 1 Ni 2.42
8 Ni 0.5000 0.8063 0.0659  3 P 2.17-2.32, 1 Ni 2.42
9 Ni 0.0000 0.3989 0.0775  4 P 2.23-2.33
10 Ni 0.5000 0.6011 0.5775  4 P 2.23-2.33
11 Ni 0.0000 0.4413 0.4751  4 P 2.25-2.35, 1 Ni 2.42
12 Ni 0.5000 0.5587 0.9751  4 P 2.25-2.35, 1 Ni 2.42
13 Ni 0.0000 0.7570 0.8989  3 P 2.14-2.30, 1 Ni 2.38
14 Ni 0.5000 0.2430 0.3989  3 P 2.14-2.30, 1 Ni 2.38
15 Ni 0.0000 0.7791 0.6673  4 P 2.22-2.36, 1 Ni 2.38
16 Ni 0.5000 0.2209 0.1673  4 P 2.22-2.36, 1 Ni 2.38
17 Ni 0.0000 0.8137 0.2640  4 P 2.31-2.39, 1 Ni 2.44
18 Ni 0.5000 0.1863 0.7640  4 P 2.31-2.39, 1 Ni 2.44
19 P 0.0000 0.0284 0.7197  6 Ni 2.17-2.39
20 P 0.5000 0.9716 0.2197  6 Ni 2.17-2.39
21 P 0.0000 0.3152 0.2830  7 Ni 2.16-2.36
22 P 0.5000 0.6848 0.7830  7 Ni 2.16-2.36
23 P 0.0000 0.6543 0.0869  7 Ni 2.14-2.35
24 P 0.5000 0.3457 0.5869  7 Ni 2.14-2.35
25 P 0.0000 0.6897 0.4650  5 Ni 2.22-2.34
26 P 0.5000 0.3103 0.9650  5 Ni 2.22-2.34


Material: LiSc2P
Method: DFT, PBEsol
State: relaxed

total DFT energy (no corrections) = -23.2 eV for the cell shown
ΔH_f (0 K) = -555.2 meV/atom
theoretical density = 3.07 g/cm³
D(E_F) = 2.847 states/eV per cell

Lattice parameters (Å, degrees): 3.4989 4.1062 5.5234 111.82 108.47 90.00
With the nearest neighbours (Å) after each atom.
Element x y z (fractional)
1 Li 0.5439 0.0439 0.0877  2 P 2.49, 4 Sc 2.77
2 P 0.2280 0.2280 0.4559  2 Li 2.49, 4 Sc 2.71
3 Sc 0.9783 0.4783 0.9567  4 Li 2.77, 2 P 2.98, 2 Sc 3.01
4 Sc 0.7498 0.7498 0.4996  4 P 2.71, 2 Li 2.86, 2 Sc 3.01


Material: FeSiRh
Method: DFT, PBEsol
State: relaxed

total DFT energy (no corrections) = -24.2 eV for the cell shown
theoretical density = 8.76 g/cm³
formation energy from raw total energies = -1.38 eV per formula unit
D(E_F) = 2.322 states/eV per cell

Lattice parameters (Å, degrees): 2.7890 2.7890 4.9617 106.32 106.32 90.00
With the nearest neighbours (Å) after each atom.
Element x y z (fractional)
1 Fe 0.0182 0.0182 0.0363  4 Si 2.36
2 Rh 0.3218 0.3218 0.6436  4 Si 2.46, 4 Fe 2.66
3 Si 0.6600 0.6600 0.3201  4 Fe 2.36, 4 Rh 2.46


Material: NaMg3Ru
Method: DFT, PBEsol
State: relaxed

total DFT energy (no corrections) = -9.7 eV for the cell shown
ΔH_f (0 K) = 1395.4 meV/atom
theoretical density = 3.01 g/cm³
D(E_F) = 5.387 states/eV per cell

Lattice parameters (Å, degrees): 4.7716 4.7716 4.7716 90.00 90.00 90.00
With the nearest neighbours (Å) after each atom.
Element x y z (fractional)
1 Ru 0.5000 0.5000 0.5000  12 Mg 3.37
2 Mg 0.0000 0.5000 0.0000  2 Na 2.39
3 Mg 0.0000 0.0000 0.5000  2 Na 2.39
4 Mg 0.5000 0.0000 0.0000  2 Na 2.39
5 Na 0.0000 0.0000 0.0000  6 Mg 2.39


Material: CuAgAs2
Method: DFT, PBEsol
State: relaxed

total DFT energy (no corrections) = -17.2 eV for the cell shown
ΔH_f (0 K) = 155.5 meV/atom
theoretical density = 7.94 g/cm³
D(E_F) = 1.325 states/eV per cell
relative energy among the computed polymorphs = 0 meV per atom

Lattice parameters (Å, degrees): 2.7595 2.7595 8.8201 90.00 90.00 90.00
With the nearest neighbours (Å) after each atom.
Element x y z (fractional)
1 Ag 0.5000 0.5000 0.7217  4 Cu 2.75, 4 Ag 2.76, 4 As 2.92
2 As 0.0000 0.0000 0.9680  4 As 2.76, 4 Ag 2.92
3 As 0.5000 0.5000 0.3079  4 Cu 2.60, 4 As 2.76
4 Cu 0.0000 0.0000 0.5024  4 As 2.60, 4 Ag 2.75, 4 Cu 2.76


Material: La2ZnBi4
Method: DFT, PBEsol
State: relaxed

total DFT energy (no corrections) = -34.1 eV for the cell shown
ΔH_f (0 K) = -663.9 meV/atom
theoretical density = 9.45 g/cm³
D(E_F) = 2.411 states/eV per cell

Lattice parameters (Å, degrees): 4.5794 4.5794 9.8770 90.00 90.00 90.00
With the nearest neighbours (Å) after each atom.
Element x y z (fractional)
1 Zn 0.5000 0.5000 0.5000  4 Bi 2.77
2 Bi 0.5000 0.0000 0.3424  2 Zn 2.77
3 Bi 0.0000 0.5000 0.6576  2 Zn 2.77
4 Bi 0.5000 0.5000 0.0000  4 Bi 3.24, 4 La 3.46
5 Bi 0.0000 0.0000 0.0000  4 Bi 3.24, 4 La 3.46
6 La 0.5000 0.0000 0.7377  2 Zn 3.28, 8 Bi 3.33-3.46
7 La 0.0000 0.5000 0.2623  2 Zn 3.28, 8 Bi 3.33-3.46


Material: In9Ag17
Method: DFT, PBEsol
State: relaxed

total DFT energy (no corrections) = -169.6 eV for the cell shown
ΔH_f (0 K) = -64.1 meV/atom
theoretical density = 9.99 g/cm³
D(E_F) = 10.860 states/eV per cell

Lattice parameters (Å, degrees): 9.8326 9.8326 9.8622 89.71 89.71 89.79
With the nearest neighbours (Å) after each atom.
Element x y z (fractional)
1 In 0.4571 0.1970 0.1965  10 Ag 2.82-3.09
2 In 0.1953 0.1953 0.4620  10 Ag 2.78-3.09
3 In 0.1970 0.4571 0.1965  10 Ag 2.82-3.09
4 In 0.4624 0.8055 0.8222  9 Ag 2.83-3.01
5 In 0.1742 0.8034 0.5314  10 Ag 2.80-3.11
6 In 0.1850 0.5300 0.8069  9 Ag 2.76-3.05
7 In 0.5300 0.1850 0.8069  9 Ag 2.76-3.05
8 In 0.8034 0.1742 0.5314  10 Ag 2.80-3.11
9 In 0.8055 0.4624 0.8222  9 Ag 2.83-3.01
10 In 0.5275 0.8033 0.1712  10 Ag 2.80-3.09
11 In 0.8213 0.8213 0.4686  9 Ag 2.79-3.11
12 In 0.8033 0.5275 0.1712  10 Ag 2.80-3.09
13 In 0.5021 0.8598 0.5016  9 Ag 2.79-3.06
14 In 0.8598 0.5021 0.5016  9 Ag 2.79-3.06
15 In 0.8929 0.8929 0.8914  9 Ag 2.84-2.96
16 In 0.8765 0.1263 0.1241  9 Ag 2.84-3.03
17 In 0.1263 0.8765 0.1241  9 Ag 2.84-3.03
18 In 0.1283 0.1283 0.8752  9 Ag 2.84-3.01
19 Ag 0.1668 0.1668 0.1656  6 Ag 2.85-2.94, 6 In 2.89-2.95
20 Ag 0.1743 0.8293 0.8285  6 Ag 2.80-3.04, 6 In 2.84-3.01
21 Ag 0.8293 0.1743 0.8285  6 Ag 2.80-3.04, 6 In 2.84-3.01
22 Ag 0.8264 0.8264 0.1767  6 Ag 2.80-3.07, 6 In 2.88-3.03
23 Ag 0.4024 0.4024 0.4012  9 Ag 2.87-2.91, 3 In 2.91-2.94
24 Ag 0.3942 0.6072 0.6078  8 Ag 2.86-3.02, 4 In 2.89-2.99
25 Ag 0.6072 0.3942 0.6078  8 Ag 2.86-3.02, 4 In 2.89-2.99
26 Ag 0.6105 0.6105 0.3896  7 Ag 2.85-3.02, 5 In 2.89-3.04
27 Ag 0.9600 0.6871 0.6994  3 Ag 2.84-3.03, 6 In 2.85-2.96
28 Ag 0.6942 0.6942 0.9568  5 Ag 2.83-3.10, 5 In 2.84-2.88
29 Ag 0.6871 0.9600 0.6994  3 Ag 2.84-3.03, 6 In 2.85-2.96
30 Ag 0.9702 0.3173 0.3174  6 In 2.79-3.01, 4 Ag 2.85-3.12
31 Ag 0.6686 0.3054 0.0292  5 Ag 2.78-3.04, 5 In 2.85-2.92
32 Ag 0.6716 0.0282 0.3048  4 Ag 2.80-3.02, 6 In 2.85-3.04
33 Ag 0.0282 0.6716 0.3048  4 Ag 2.80-3.02, 6 In 2.85-3.04
34 Ag 0.3054 0.6686 0.0292  5 Ag 2.78-3.04, 5 In 2.85-2.92
35 Ag 0.3173 0.9702 0.3174  6 In 2.79-3.01, 4 Ag 2.85-3.12
36 Ag 0.0265 0.3134 0.6771  4 Ag 2.79-3.05, 6 In 2.85-3.02
37 Ag 0.3217 0.3217 0.9711  4 Ag 2.77-3.06, 5 In 2.86-2.93
38 Ag 0.3134 0.0265 0.6771  4 Ag 2.79-3.05, 6 In 2.85-3.02
39 Ag 0.6717 0.6717 0.6683  7 Ag 2.86-2.98, 5 In 2.86-2.98
40 Ag 0.6768 0.3249 0.3259  4 In 2.80-3.06, 8 Ag 2.89-3.03
41 Ag 0.3249 0.6768 0.3259  4 In 2.80-3.06, 8 Ag 2.89-3.03
42 Ag 0.3249 0.3249 0.6756  3 In 2.76-2.78, 9 Ag 2.91-3.08
43 Ag 0.0057 0.0057 0.6444  5 In 2.81-3.11, 5 Ag 2.85-3.05
44 Ag 0.0027 0.6445 0.0012  7 Ag 2.82-3.10, 4 In 2.82-2.88
45 Ag 0.6445 0.0027 0.0012  7 Ag 2.82-3.10, 4 In 2.82-2.88
46 Ag 0.0055 0.0055 0.3558  6 In 2.79-3.11, 5 Ag 2.85-3.11
47 Ag 0.0058 0.3580 0.0006  4 Ag 2.82-3.14, 6 In 2.83-3.09
48 Ag 0.3580 0.0058 0.0006  4 Ag 2.82-3.14, 6 In 2.83-3.09
49 Ag 0.5032 0.5032 0.1446  8 Ag 2.78-3.06, 4 In 2.97-3.09
50 Ag 0.5029 0.1457 0.5019  7 Ag 2.79-3.12, 5 In 2.81-3.09
51 Ag 0.1457 0.5029 0.5019  7 Ag 2.79-3.12, 5 In 2.81-3.09
52 Ag 0.5039 0.5039 0.8578  9 Ag 2.77-3.08, 2 In 3.01


Material: KTa2In
Method: DFT, PBEsol
State: relaxed

total DFT energy (no corrections) = -25.1 eV for the cell shown
ΔH_f (0 K) = 1027.3 meV/atom
theoretical density = 9.98 g/cm³
D(E_F) = 4.137 states/eV per cell

Lattice parameters (Å, degrees): 2.7655 5.6503 6.2924 115.53 100.54 94.70
With the nearest neighbours (Å) after each atom.
Element x y z (fractional)
1 In 0.5000 0.0000 0.0000  2 In 2.77, 2 K 3.04
2 K 0.0000 0.5000 0.0000  2 K 2.77, 2 In 3.04
3 Ta 0.0000 0.0000 0.5000  4 Ta 2.77-3.04
4 Ta 0.5000 0.5000 0.5000  4 Ta 2.77-3.04